Entry 1:
Computed, not measured: TlInS2 at its PBEsol-relaxed geometry at the SCAN level of DFT.

Lattice parameters (Å, degrees): 10.8503 10.8367 14.9716 90.00 100.26 90.00
Last column: nearest neighbours and their distance in Å.
Space group C2/c (No. 15)
Asymmetric unit:
Tl (0.0139, 0.1703, 0.3841) x8  7 S 3.08-3.43
Tl (0.2018, 0.4579, 0.1202) x8  7 S 3.19-3.47
In (0.1029, 0.1846, 0.6525) x8  4 S 2.45-2.47
In (0.1451, 0.4337, 0.8458) x8  4 S 2.45-2.48
S (0.0000, 0.0513, 0.7500) x4  2 In 2.46
S (0.0000, 0.4222, 0.2500) x4  2 In 2.48
S (0.0249, 0.3317, 0.9488) x8  2 In 2.45
S (0.1819, 0.0360, 0.5524) x8  2 In 2.45-2.46
S (0.2369, 0.1926, 0.2484) x8  2 In 2.47-2.48

## Properties
- Calculated total energy: -1.171 Ha/atom
- Formation energy from raw total energies: -2.5 eV/f.u.
- Crystal system: monoclinic

Entry 2:
Computed, not measured: TlInS2 at its PBEsol-relaxed geometry at the SCAN level of DFT.

Lattice parameters (Å, degrees): 3.8351 3.8351 21.8997 90.00 90.00 120.00
Last column: nearest neighbours and their distance in Å.
Space group R-3m (No. 166, hexagonal axes)
Asymmetric unit:
Tl (0.0000, 0.0000, 0.0000) x3  6 S 3.13
In (0.0000, 0.0000, 0.5000) x3  6 S 2.64
S (0.0000, 0.0000, 0.2323) x6  3 In 2.64

## Properties
- Calculated total energy: -1.172 Ha/atom
- Formation energy from raw total energies: -2.5 eV/f.u.
- Crystal system: trigonal

Entry 3:
Computed, not measured: TlIn2S2 at its PBEsol-relaxed geometry at the SCAN level of DFT.

Lattice parameters (Å, degrees): 5.0780 5.0780 9.4047 90.00 90.00 90.00
Last column: nearest neighbours and their distance in Å.
Space group I4/mmm (No. 139)
Asymmetric unit:
Tl (0.0000, 0.0000, 0.0000) x2  2 In 3.28, 8 S 3.46
In (0.0000, 0.0000, 0.3486) x4  4 S 2.70, 1 In 2.85
S (0.0000, 0.5000, 0.2500) x4  4 In 2.70

## Properties
- Calculated total energy: -1.179 Ha/atom
- Formation energy from raw total energies: -2.0 eV/f.u.
- Crystal system: tetragonal

Entry 4:
Computed, not measured: TlInS2 at its PBEsol-relaxed geometry at the SCAN level of DFT.

Lattice parameters (Å, degrees): 7.6893 7.6893 6.6133 90.00 90.00 90.00
Last column: nearest neighbours and their distance in Å.
Space group I4/mcm (No. 140)
Asymmetric unit:
Tl (0.0000, 0.0000, 0.2500) x4  8 S 3.29, 2 Tl 3.31
In (0.0000, 0.5000, 0.2500) x4  4 S 2.49
S (0.1714, 0.3286, 0.0000) x8  2 In 2.49

## Properties
- Calculated total energy: -1.171 Ha/atom
- Formation energy from raw total energies: -2.5 eV/f.u.
- Crystal system: tetragonal